(1)
Computed, not measured: crystalline PPdRuN at its relaxed geometry at the PBE-GGA level of DFT.

Geometry as POSCAR:
```
PPdRuN
1.0
9.619 0.000 0.000
0.000 2.809 0.000
-0.244 0.000 4.205
P Pd Ru N
2 2 2 2
Direct
0.000 0.000 0.000 P
0.500 0.500 0.000 P
0.302 0.000 0.896 Pd
0.802 0.500 0.896 Pd
0.134 0.500 0.350 Ru
0.634 0.000 0.350 Ru
0.095 0.000 0.672 N
0.595 0.500 0.672 N
```

Calculated values
* total magnetization: 0.0 μB per formula unit
* raw formation energy: 8.1 kJ/mol of atoms

(2)
Computed, not measured: crystalline Ca2PbF at its relaxed geometry at the PBE-GGA level of DFT.

Geometry as POSCAR:
```
Ca2PbF
1.0
3.911 0.000 0.000
-1.956 3.387 0.000
0.000 0.000 22.872
Ca Pb F
6 3 3
Direct
0.000 0.000 0.233 Ca
0.000 0.000 0.767 Ca
0.333 0.667 0.433 Ca
0.333 0.667 0.900 Ca
0.667 0.333 0.100 Ca
0.667 0.333 0.567 Ca
0.000 0.000 0.000 Pb
0.333 0.667 0.667 Pb
0.667 0.333 0.333 Pb
0.000 0.000 0.500 F
0.333 0.667 0.167 F
0.667 0.333 0.833 F
```

Calculated values
* total magnetization: 0.0 μB per formula unit
* raw formation energy: -139.5 kJ/mol of atoms

(3)
Computed, not measured: crystalline PrEu at its relaxed geometry at the PBE-GGA level of DFT.

Geometry as POSCAR:
```
PrEu
1.0
3.791 0.000 0.000
0.000 3.791 0.000
0.000 0.000 10.796
Pr Eu
2 2
Direct
0.250 0.250 0.114 Pr
0.750 0.750 0.886 Pr
0.250 0.250 0.632 Eu
0.750 0.750 0.368 Eu
```

Calculated values
* formation enthalpy at 0 K: 16 meV/atom
* total magnetization: 7.5 μB per formula unit

(4)
Computed, not measured: crystalline LiCa2ErTl4 at its relaxed geometry at the PBE-GGA level of DFT.

Geometry as POSCAR:
```
LiCa2ErTl4
1.0
2.665 1.539 8.785
-2.665 1.539 8.785
0.000 -3.078 8.785
Li Ca Er Tl
1 2 1 4
Direct
0.000 0.000 0.000 Li
0.252 0.252 0.252 Ca
0.748 0.748 0.748 Ca
0.500 0.500 0.500 Er
0.123 0.123 0.123 Tl
0.374 0.374 0.374 Tl
0.626 0.626 0.626 Tl
0.877 0.877 0.877 Tl
```

Calculated values
* formation enthalpy at 0 K: -337 meV/atom
* total magnetization: 0.0 μB per formula unit

(5)
Computed, not measured: crystalline La2HgW at its relaxed geometry at the PBE-GGA level of DFT.

Geometry as POSCAR:
```
La2HgW
1.0
3.663 0.000 0.000
-1.831 3.172 0.000
0.000 0.000 28.914
La Hg W
6 3 3
Direct
0.000 0.000 0.240 La
0.000 0.000 0.760 La
0.333 0.667 0.426 La
0.333 0.667 0.907 La
0.667 0.333 0.093 La
0.667 0.333 0.574 La
0.000 0.000 0.000 Hg
0.333 0.667 0.667 Hg
0.667 0.333 0.333 Hg
0.000 0.000 0.500 W
0.333 0.667 0.167 W
0.667 0.333 0.833 W
```

Calculated values
* formation enthalpy at 0 K: 422 meV/atom
* total magnetization: 0.0 μB per formula unit

(6)
Computed, not measured: crystalline In2Si2Hg at its relaxed geometry at the PBE-GGA level of DFT.

Geometry as POSCAR:
```
In2Si2Hg
1.0
8.484 0.000 0.000
0.000 8.484 0.000
0.000 0.000 3.201
In Si Hg
4 4 2
Direct
0.187 0.313 0.000 In
0.313 0.813 0.000 In
0.687 0.187 0.000 In
0.813 0.687 0.000 In
0.103 0.603 0.500 Si
0.397 0.103 0.500 Si
0.603 0.897 0.500 Si
0.897 0.397 0.500 Si
0.000 0.000 0.000 Hg
0.500 0.500 0.000 Hg
```

Calculated values
* total magnetization: 0.0 μB per formula unit
* raw formation energy: 38.3 kJ/mol of atoms